Below is a relaxed structure of Cr5Ir4Rh2, with properties calculated at the PBE-GGA level.

Unit cell a=3.876 b=5.236 c=15.420 alpha=90.00 beta=90.00 gamma=90.00
Fractional coordinates of all 22 atoms:
Cr1 0.000 0.097 0.585
Cr2 0.000 0.903 0.415
Cr3 0.000 0.403 0.085
Cr4 0.000 0.597 0.915
Cr5 0.000 0.168 0.737
Cr6 0.000 0.832 0.263
Cr7 0.000 0.332 0.237
Cr8 0.000 0.668 0.763
Cr9 0.000 0.000 0.000
Cr10 0.000 0.500 0.500
Ir1 0.500 0.267 0.978
Ir2 0.500 0.733 0.022
Ir3 0.500 0.233 0.478
Ir4 0.500 0.767 0.522
Ir5 0.500 0.404 0.645
Ir6 0.500 0.596 0.355
Ir7 0.500 0.096 0.145
Ir8 0.500 0.904 0.855
Rh1 0.500 0.906 0.682
Rh2 0.500 0.094 0.318
Rh3 0.500 0.594 0.182
Rh4 0.500 0.406 0.818

Results
As for the energy of formation: 0.12 eV per atom. The density of states at the Fermi level comes out at 23.6 states/eV/cell.